No. 1
Density functional theory data (PBE-GGA) for a geometry-optimized CeYHo2 structure.

Lattice parameters (Å, degrees): 5.0089 10.0225 9.9975 90.00 90.00 90.00
With the nearest neighbours (Å) after each atom.
Element x y z (fractional)
Ce  0.7500  0.6250  0.7484  8 Ho 3.52-3.56, 4 Y 3.52-3.56
Ce  0.2500  0.8750  0.2484  8 Ho 3.52-3.56, 4 Y 3.52-3.56
Ce  0.2500  0.3750  0.2516  8 Ho 3.52-3.56, 4 Y 3.52-3.56
Ce  0.7500  0.1250  0.7516  8 Ho 3.52-3.56, 4 Y 3.52-3.56
Y  0.7500  0.8743  0.4999  4 Ce 3.52-3.56, 6 Ho 3.53-3.55, 2 Y 3.55
Y  0.2500  0.6257  0.9999  4 Ce 3.52-3.56, 6 Ho 3.53-3.55, 2 Y 3.55
Y  0.2500  0.1257  0.5001  4 Ce 3.52-3.56, 6 Ho 3.53-3.55, 2 Y 3.55
Y  0.7500  0.3743  0.0001  4 Ce 3.52-3.56, 6 Ho 3.53-3.55, 2 Y 3.55
Ho  0.7500  0.3758  0.5001  4 Ce 3.52-3.56, 6 Ho 3.53-3.55, 2 Y 3.54
Ho  0.2500  0.1242  0.0001  4 Ce 3.52-3.56, 6 Ho 3.53-3.55, 2 Y 3.54
Ho  0.2500  0.6242  0.4999  4 Ce 3.52-3.56, 6 Ho 3.53-3.55, 2 Y 3.54
Ho  0.7500  0.8758  0.9999  4 Ce 3.52-3.56, 6 Ho 3.53-3.55, 2 Y 3.54
Ho  0.7500  0.6250  0.2509  4 Y 3.53-3.55, 4 Ho 3.53-3.55, 4 Ce 3.54
Ho  0.2500  0.8750  0.7508  4 Y 3.53-3.55, 4 Ho 3.53-3.55, 4 Ce 3.54
Ho  0.2500  0.3750  0.7491  4 Y 3.53-3.55, 4 Ho 3.53-3.55, 4 Ce 3.54
Ho  0.7500  0.1250  0.2492  4 Y 3.53-3.55, 4 Ho 3.53-3.55, 4 Ce 3.54

The value obtained for the magnetization is 4.115 Bohr magnetons per cell. For the polymorph energy (0 for the lowest one), the calculation gives 59 meV per atom.

No. 2
Density functional theory data (PBE-GGA) for a geometry-optimized Ce4YHo structure.

Lattice parameters (Å, degrees): 6.3231 6.3231 6.3231 60.00 60.00 60.00
With the nearest neighbours (Å) after each atom.
Element x y z (fractional)
Y  0.0000  0.0000  0.0000  12 Ce 3.71, 4 Ho 3.87
Ho  0.2500  0.2500  0.2500  12 Ce 3.70, 4 Y 3.87
Ce  0.6233  0.6233  0.1302  6 Ce 3.12-3.21
Ce  0.6233  0.1302  0.6233  6 Ce 3.12-3.21
Ce  0.6233  0.6233  0.6233  6 Ce 3.12-3.21
Ce  0.1302  0.6233  0.6233  6 Ce 3.12-3.21

The value obtained for the magnetization is 4.441 Bohr magnetons per cell. The total DFT energy (no corrections) comes out at -33.54 eV for the cell shown.

No. 3
Density functional theory data (PBE-GGA) for a geometry-optimized CeY12Ho6 structure.

Lattice parameters (Å, degrees): 8.6716 8.6716 8.6716 98.08 98.08 98.08
With the nearest neighbours (Å) after each atom.
Element x y z (fractional)
Ce  0.0000  0.0000  0.0000  6 Y 3.44, 6 Ho 3.55
Y  0.5911  0.1680  0.5913  7 Y 3.19-3.53
Y  0.1680  0.5913  0.5911  7 Y 3.19-3.53
Y  0.5913  0.5911  0.1680  7 Y 3.19-3.53
Y  0.4089  0.8320  0.4087  7 Y 3.19-3.53
Y  0.8320  0.4087  0.4089  7 Y 3.19-3.53
Y  0.4087  0.4089  0.8320  7 Y 3.19-3.53
Y  0.2628  0.9999  0.7372  4 Ho 3.36-3.52, 6 Y 3.44-3.53, 1 Ce 3.44
Y  0.2628  0.7372  0.0001  4 Ho 3.36-3.52, 1 Ce 3.44, 6 Y 3.44-3.53
Y  0.0001  0.2628  0.7372  4 Ho 3.36-3.52, 6 Y 3.44-3.53, 1 Ce 3.44
Y  0.7372  0.0001  0.2628  4 Ho 3.36-3.52, 6 Y 3.44-3.53, 1 Ce 3.44
Y  0.7372  0.2628  0.9999  4 Ho 3.36-3.52, 1 Ce 3.44, 6 Y 3.44-3.53
Y  0.9999  0.7372  0.2628  4 Ho 3.36-3.52, 6 Y 3.44-3.53, 1 Ce 3.44
Ho  0.1395  0.1393  0.4072  4 Y 3.36-3.52, 2 Ho 3.51, 1 Ce 3.55
Ho  0.8607  0.5928  0.8605  4 Y 3.36-3.52, 2 Ho 3.51, 1 Ce 3.55
Ho  0.5928  0.8605  0.8607  4 Y 3.36-3.52, 2 Ho 3.51, 1 Ce 3.55
Ho  0.8605  0.8607  0.5928  4 Y 3.36-3.52, 2 Ho 3.51, 1 Ce 3.55
Ho  0.1393  0.4072  0.1395  4 Y 3.36-3.52, 2 Ho 3.51, 1 Ce 3.55
Ho  0.4072  0.1395  0.1393  4 Y 3.36-3.52, 2 Ho 3.51, 1 Ce 3.55

The value obtained for the magnetization is 1.427 Bohr magnetons per cell. The total DFT energy (no corrections) comes out at -108.21 eV for the cell shown.

No. 4
Density functional theory data (PBE-GGA) for a geometry-optimized CeY2Ho structure.

Lattice parameters (Å, degrees): 3.4185 3.4185 12.4931 82.14 82.14 60.00
With the nearest neighbours (Å) after each atom.
Element x y z (fractional)
Y  0.0888  0.0888  0.7336  1 Ce 3.29, 6 Y 3.42, 3 Ho 3.49
Y  0.9112  0.9112  0.2664  1 Ce 3.29, 6 Y 3.42, 3 Ho 3.49
Ho  0.5000  0.5000  0.5000  6 Ho 3.42, 6 Y 3.49
Ce  0.0000  0.0000  0.0000  2 Y 3.29, 6 Ce 3.42

The value obtained for the magnetization is 0.724 Bohr magnetons per cell. For the polymorph energy (0 for the lowest one), the calculation gives 139 meV per atom.

No. 5
Density functional theory data (PBE-GGA) for a geometry-optimized CeY4Ho6 structure.

Lattice parameters (Å, degrees): 5.6739 5.5952 25.6719 90.00 90.00 120.47
With the nearest neighbours (Å) after each atom.
Element x y z (fractional)
Ce  0.8187  0.6374  0.2500  3 Ho 3.22-3.26
Ce  0.1813  0.3626  0.7500  3 Ho 3.22-3.26
Y  0.8392  0.6785  0.5415  8 Ho 3.40-3.71, 2 Y 3.72-3.76
Y  0.4812  0.9624  0.1219  5 Ho 3.13-3.29
Y  0.1608  0.3215  0.4585  8 Ho 3.40-3.71, 2 Y 3.72-3.76
Y  0.5188  0.0376  0.8781  5 Ho 3.13-3.29
Y  0.8392  0.6785  0.9585  8 Ho 3.40-3.71, 2 Y 3.72-3.76
Y  0.1608  0.3215  0.0415  8 Ho 3.40-3.71, 2 Y 3.72-3.76
Y  0.5188  0.0376  0.6219  5 Ho 3.13-3.29
Y  0.4812  0.9624  0.3781  5 Ho 3.13-3.29
Ho  0.5000  0.0000  0.0000  8 Y 3.13-3.44
Ho  0.5000  0.0000  0.5000  8 Y 3.13-3.44
Ho  0.1501  0.3002  0.3183  7 Ho 3.51-3.84, 4 Y 3.54-3.61, 3 Ce 3.65-3.71
Ho  0.8499  0.6998  0.6817  7 Ho 3.51-3.84, 4 Y 3.54-3.61, 3 Ce 3.65-3.71
Ho  0.8499  0.6998  0.8183  7 Ho 3.51-3.84, 4 Y 3.54-3.61, 3 Ce 3.65-3.71
Ho  0.1501  0.3002  0.1817  7 Ho 3.51-3.84, 4 Y 3.54-3.61, 3 Ce 3.65-3.71
Ho  0.8183  0.6366  0.3971  6 Y 3.28-3.66
Ho  0.1817  0.3634  0.6029  6 Y 3.28-3.66
Ho  0.1817  0.3634  0.8971  6 Y 3.28-3.66
Ho  0.8183  0.6366  0.1029  6 Y 3.28-3.66
Ho  0.4851  0.9701  0.2500  3 Ce 3.22-3.26, 2 Y 3.29
Ho  0.5149  0.0299  0.7500  3 Ce 3.22-3.26, 2 Y 3.29

The value obtained for the magnetization is 1.704 Bohr magnetons per cell. The total DFT energy (no corrections) comes out at -115.28 eV for the cell shown.

No. 6
Density functional theory data (PBE-GGA) for a geometry-optimized CeY10Ho4 structure.

Lattice parameters (Å, degrees): 7.6761 9.4152 9.4152 80.43 65.94 65.94
With the nearest neighbours (Å) after each atom.
Element x y z (fractional)
Ce  0.0000  0.0000  0.0000  8 Y 3.31
Y  0.2500  0.5000  0.5000  4 Ho 3.33
Y  0.6516  0.2980  0.9010  1 Ce 3.31, 3 Ho 3.33-3.34
Y  0.0504  0.0990  0.2980  1 Ce 3.31, 3 Ho 3.33-3.34
Y  0.4473  0.9010  0.7020  1 Ce 3.31, 3 Ho 3.33-3.34
Y  0.8506  0.7020  0.0990  1 Ce 3.31, 3 Ho 3.33-3.34
Y  0.3484  0.7020  0.0990  1 Ce 3.31, 3 Ho 3.33-3.34
Y  0.7500  0.5000  0.5000  4 Ho 3.33
Y  0.1494  0.2980  0.9010  1 Ce 3.31, 3 Ho 3.33-3.34
Y  0.5527  0.0990  0.2980  1 Ce 3.31, 3 Ho 3.33-3.34
Y  0.9496  0.9010  0.7020  1 Ce 3.31, 3 Ho 3.33-3.34
Ho  0.3998  0.7998  0.4005  8 Y 3.33-3.34
Ho  0.8004  0.5995  0.7998  8 Y 3.33-3.34
Ho  0.1996  0.4005  0.2002  8 Y 3.33-3.34
Ho  0.6002  0.2002  0.5995  8 Y 3.33-3.34

The value obtained for the magnetization is 1.927 Bohr magnetons per cell. The total DFT energy (no corrections) comes out at -77.45 eV for the cell shown.

No. 7
Density functional theory data (PBE-GGA) for a geometry-optimized CeY7Ho2 structure.

Lattice parameters (Å, degrees): 5.6229 9.2017 9.2018 57.23 90.00 90.00
With the nearest neighbours (Å) after each atom.
Element x y z (fractional)
Ce  0.0000  0.0000  0.0000  10 Y 3.50-3.72
Y  0.0000  0.2165  0.2165  2 Ho 3.10
Y  0.0000  0.7835  0.7835  2 Ho 3.10
Y  0.5000  0.9384  0.2922  2 Y 3.12-3.40, 2 Ho 3.18-3.32
Y  0.5000  0.0616  0.7078  2 Y 3.12-3.40, 2 Ho 3.18-3.32
Y  0.5000  0.7078  0.0616  2 Y 3.12-3.40, 2 Ho 3.18-3.32
Y  0.5000  0.2922  0.9384  2 Y 3.12-3.40, 2 Ho 3.18-3.32
Y  0.5000  0.5000  0.5000  2 Ho 3.28, 4 Y 3.40
Ho  0.5000  0.2968  0.2968  7 Y 3.10-3.32
Ho  0.5000  0.7032  0.7032  7 Y 3.10-3.32

The value obtained for the magnetization is 1.440 Bohr magnetons per cell. The total DFT energy (no corrections) comes out at -53.03 eV for the cell shown.

No. 8
Density functional theory data (PBE-GGA) for a geometry-optimized CeY7Ho3 structure.

Lattice parameters (Å, degrees): 9.9063 9.9063 13.1339 100.52 100.52 139.30
With the nearest neighbours (Å) after each atom.
Element x y z (fractional)
Ce  0.5000  0.5000  0.0000  10 Y 3.28-3.67, 2 Ho 3.45
Ce  0.5000  0.5000  0.5000  10 Y 3.28-3.67, 2 Ho 3.45
Y  0.0882  0.9113  0.2499  3 Y 3.29-3.43, 4 Ho 3.46-3.67, 2 Ce 3.67
Y  0.0887  0.9118  0.7501  3 Y 3.29-3.43, 4 Ho 3.46-3.67, 2 Ce 3.67
Y  0.1231  0.4447  0.5326  4 Y 3.39-3.54, 3 Ho 3.40-3.47, 1 Ce 3.46
Y  0.1232  0.4448  0.0326  4 Y 3.39-3.54, 3 Ho 3.40-3.47, 1 Ce 3.46
Y  0.5552  0.8768  0.9674  4 Y 3.39-3.54, 3 Ho 3.40-3.47, 1 Ce 3.46
Y  0.5553  0.8769  0.4674  4 Y 3.39-3.54, 3 Ho 3.40-3.47, 1 Ce 3.46
Y  0.5004  0.5004  0.7501  2 Ho 3.28, 2 Ce 3.28
Y  0.4996  0.4996  0.2499  2 Ho 3.28, 2 Ce 3.28
Y  0.4448  0.1232  0.0326  4 Y 3.39-3.54, 3 Ho 3.40-3.47, 1 Ce 3.46
Y  0.4447  0.1231  0.5326  4 Y 3.39-3.54, 3 Ho 3.40-3.47, 1 Ce 3.46
Y  0.8768  0.5552  0.9674  4 Y 3.39-3.54, 3 Ho 3.40-3.47, 1 Ce 3.46
Y  0.8769  0.5553  0.4674  4 Y 3.39-3.54, 3 Ho 3.40-3.47, 1 Ce 3.46
Y  0.9113  0.0882  0.2499  3 Y 3.29-3.43, 4 Ho 3.46-3.67, 2 Ce 3.67
Y  0.9118  0.0887  0.7501  3 Y 3.29-3.43, 4 Ho 3.46-3.67, 2 Ce 3.67
Ho  0.0000  0.5000  0.7500  6 Y 3.40-3.46, 2 Ho 3.45
Ho  0.0000  0.0000  0.0000  10 Y 3.28-3.67, 2 Ce 3.45
Ho  0.0000  0.0000  0.5000  10 Y 3.28-3.67, 2 Ce 3.45
Ho  0.5000  0.0000  0.2500  6 Y 3.40-3.46, 2 Ho 3.45
Ho  0.5000  0.0000  0.7500  6 Y 3.40-3.46, 2 Ho 3.45
Ho  0.0000  0.5000  0.2500  6 Y 3.40-3.46, 2 Ho 3.45

The value obtained for the magnetization is 3.772 Bohr magnetons per cell. For the polymorph energy (0 for the lowest one), the calculation gives 0 meV per atom.

No. 9
Density functional theory data (PBE-GGA) for a geometry-optimized CeY2Ho8 structure.

Lattice parameters (Å, degrees): 4.9972 7.9070 9.3566 104.71 105.49 90.00
With the nearest neighbours (Å) after each atom.
Element x y z (fractional)
Ce  0.5000  0.0000  0.0000  12 Ho 3.51-3.53
Y  0.2282  0.6377  0.4565  10 Ho 3.54-3.58, 2 Y 3.54
Y  0.7718  0.3623  0.5435  10 Ho 3.54-3.58, 2 Y 3.54
Ho  0.5900  0.4537  0.1801  8 Ho 3.51-3.56, 1 Ce 3.53, 3 Y 3.54-3.56
Ho  0.3199  0.0929  0.6398  1 Ce 3.51, 8 Ho 3.52-3.58, 3 Y 3.54
Ho  0.1356  0.1789  0.2712  7 Ho 3.50-3.56, 2 Ce 3.52, 3 Y 3.54-3.57
Ho  0.0444  0.7300  0.0889  9 Ho 3.50-3.57, 2 Ce 3.51, 1 Y 3.58
Ho  0.8644  0.8211  0.7288  7 Ho 3.50-3.56, 2 Ce 3.52, 3 Y 3.54-3.57
Ho  0.6801  0.9071  0.3602  1 Ce 3.51, 8 Ho 3.52-3.58, 3 Y 3.54
Ho  0.4100  0.5463  0.8199  8 Ho 3.51-3.56, 1 Ce 3.53, 3 Y 3.54-3.56
Ho  0.9556  0.2700  0.9111  9 Ho 3.50-3.57, 2 Ce 3.51, 1 Y 3.58

The value obtained for the magnetization is 1.096 Bohr magnetons per cell. For the polymorph energy (0 for the lowest one), the calculation gives 0 meV per atom.

No. 10
Density functional theory data (PBE-GGA) for a geometry-optimized CeY8Ho3 structure.

Lattice parameters (Å, degrees): 8.3642 8.3642 8.3642 93.82 117.82 117.82
With the nearest neighbours (Å) after each atom.
Element x y z (fractional)
Ce  0.0000  0.0000  0.0000  8 Y 2.86-3.11
Y  0.4654  0.2034  0.2034  1 Ce 2.86, 1 Y 3.18
Y  0.5346  0.7379  0.7379  1 Ce 2.86, 1 Y 3.18
Y  0.0000  0.7966  0.2621  1 Ce 2.86, 1 Y 3.18
Y  0.0000  0.2621  0.7966  1 Ce 2.86, 1 Y 3.18
Y  0.2514  0.3625  0.3625  3 Y 3.07-3.31, 1 Ce 3.11, 3 Ho 3.38-3.41
Y  0.7486  0.1112  0.1112  3 Y 3.07-3.31, 1 Ce 3.11, 3 Ho 3.38-3.41
Y  0.0000  0.6375  0.8888  3 Y 3.07-3.31, 1 Ce 3.11, 3 Ho 3.38-3.41
Y  0.0000  0.8888  0.6375  3 Y 3.07-3.31, 1 Ce 3.11, 3 Ho 3.38-3.41
Ho  0.5000  0.7500  0.2500  4 Y 3.41
Ho  0.5000  0.2500  0.7500  4 Y 3.41
Ho  0.0000  0.5000  0.5000  8 Y 3.28-3.38

The value obtained for the magnetization is 0.001 Bohr magnetons per cell. The total DFT energy (no corrections) comes out at -63.65 eV for the cell shown.